Entry 1:
# Ho2InSe

Ho2InSe after structural relaxation (PBE-GGA, the Alexandria database).

a b c (Å): 3.890 3.890 8.325
angles (deg): 90.04 103.48 119.97
Fractional coordinates of all 4 atoms:
Ho 0.521 0.260 0.781
Ho 0.479 0.740 0.219
In 0.000 0.500 0.500
Se 0.000 0.000 0.000

Results
**Excess energy over the best structure of this formula in the dataset**: 20.0 meV per atom
**Symmetry**: R-3m, No. 166
**Formation energy from raw total energies**: -1066 meV per atom
**DOS at the Fermi energy**: 2.01 states/eV/f.u.
**Total magnetization**: 0.00 μB per cell

Entry 2:
# Ho5InSe4

Ho5InSe4 after structural relaxation (PBE-GGA, the Alexandria database).

a b c (Å): 5.831 7.158 7.158
angles (deg): 80.45 65.96 65.96
Fractional coordinates of all 10 atoms:
Ho 0.901 0.404 0.796
Ho 0.305 0.796 0.596
Ho 0.697 0.204 0.404
Ho 0.101 0.596 0.204
Ho 0.501 0.000 0.000
In 0.001 0.000 0.000
Se 0.400 0.402 0.800
Se 0.802 0.800 0.598
Se 0.200 0.200 0.402
Se 0.602 0.598 0.200

Results
**Symmetry**: I4/m, No. 87
**Formation energy from raw total energies**: -1463 meV per atom
**DOS at the Fermi energy**: 3.48 states/eV/f.u.
**Total magnetization**: 0.00 μB per cell

Entry 3:
# SmHoIn2Se4

SmHoIn2Se4 after structural relaxation (PBE-GGA, the Alexandria database).

a b c (Å): 4.183 8.108 7.248
angles (deg): 72.68 90.00 90.00
Fractional coordinates of all 8 atoms:
Sm 0.500 0.500 0.000
Ho 0.000 0.500 0.500
In 0.000 0.000 0.000
In 0.500 0.000 0.500
Se 0.000 0.712 0.757
Se 0.000 0.288 0.243
Se 0.500 0.709 0.270
Se 0.500 0.291 0.730

Results
**Symmetry**: P2/m, No. 10
**Formation energy from raw total energies**: -1295 meV per atom
**Total magnetization**: 0.00 μB per cell

Entry 4:
# HoInSn2Se5

HoInSn2Se5 after structural relaxation (PBE-GGA, the Alexandria database).

a b c (Å): 4.091 9.715 13.554
angles (deg): 90.00 90.00 102.15
Fractional coordinates of all 18 atoms:
Ho 0.805 0.610 0.520
Ho 0.195 0.390 0.020
In 0.546 0.092 0.930
In 0.454 0.908 0.430
Sn 0.868 0.737 0.823
Sn 0.151 0.302 0.661
Sn 0.132 0.263 0.323
Sn 0.849 0.698 0.161
Se 0.344 0.688 0.017
Se 0.681 0.363 0.874
Se 0.468 0.936 0.775
Se 0.297 0.594 0.671
Se 0.960 0.920 0.551
Se 0.656 0.312 0.517
Se 0.319 0.637 0.374
Se 0.532 0.064 0.275
Se 0.703 0.406 0.171
Se 0.040 0.080 0.051

Results
**Symmetry**: Cmc2_1, No. 36
**Formation energy from raw total energies**: -841 meV per atom
**Total magnetization**: 0.00 μB per cell

Entry 5:
# SrHoIn2Se4

SrHoIn2Se4 after structural relaxation (PBE-GGA, the Alexandria database).

a b c (Å): 4.230 7.584 7.602
angles (deg): 71.86 90.00 90.00
Fractional coordinates of all 8 atoms:
Sr 0.500 0.500 0.000
Ho 0.000 0.500 0.500
In 0.000 0.000 0.000
In 0.500 0.000 0.500
Se 0.000 0.740 0.726
Se 0.000 0.260 0.274
Se 0.500 0.725 0.284
Se 0.500 0.275 0.716

Results
**Symmetry**: P2/m, No. 10
**Formation energy from raw total energies**: -1204 meV per atom
**DOS at the Fermi energy**: 3.62 states/eV/f.u.
**Total magnetization**: 0.00 μB per cell

Entry 6:
# Sr2HoInSe5

Sr2HoInSe5 after structural relaxation (PBE-GGA, the Alexandria database).

a b c (Å): 4.198 9.490 13.104
angles (deg): 90.00 90.00 102.78
Fractional coordinates of all 18 atoms:
Sr 0.868 0.735 0.816
Sr 0.116 0.232 0.680
Sr 0.132 0.265 0.316
Sr 0.884 0.768 0.180
Ho 0.788 0.575 0.521
Ho 0.212 0.425 0.021
In 0.550 0.101 0.942
In 0.450 0.899 0.442
Se 0.361 0.723 0.002
Se 0.688 0.377 0.869
Se 0.494 0.989 0.765
Se 0.288 0.576 0.667
Se 0.949 0.898 0.562
Se 0.639 0.277 0.502
Se 0.312 0.623 0.369
Se 0.506 0.011 0.265
Se 0.712 0.424 0.167
Se 0.051 0.102 0.062

Results
**Symmetry**: Cmc2_1, No. 36
**Formation energy from raw total energies**: -1593 meV per atom
**Total magnetization**: 0.00 μB per cell

Entry 7:
# TbHoIn2Se4

TbHoIn2Se4 after structural relaxation (PBE-GGA, the Alexandria database).

a b c (Å): 4.149 7.183 8.110
angles (deg): 107.18 90.00 90.00
Fractional coordinates of all 8 atoms:
Tb 0.500 0.500 0.000
Ho 0.000 0.000 0.000
In 0.500 0.000 0.500
In 0.000 0.500 0.500
Se 0.500 0.234 0.208
Se 0.500 0.766 0.792
Se 0.000 0.262 0.791
Se 0.000 0.738 0.209

Results
**Symmetry**: P2/m, No. 10
**Formation energy from raw total energies**: -1301 meV per atom
**Total magnetization**: 0.00 μB per cell

Entry 8:
# TbHo2In3Se6

TbHo2In3Se6 after structural relaxation (PBE-GGA, the Alexandria database).

a b c (Å): 7.177 7.177 8.107
angles (deg): 98.49 98.49 120.00
Fractional coordinates of all 12 atoms:
Tb 0.000 0.000 0.000
Ho 0.333 0.667 0.000
Ho 0.667 0.333 0.000
In 0.166 0.834 0.500
In 0.834 0.166 0.500
In 0.500 0.500 0.500
Se 0.931 0.595 0.792
Se 0.734 0.734 0.207
Se 0.069 0.405 0.208
Se 0.595 0.931 0.792
Se 0.266 0.266 0.793
Se 0.405 0.069 0.208

Results
**Symmetry**: C2/m, No. 12
**Formation energy from raw total energies**: -1300 meV per atom
**Total magnetization**: 0.00 μB per cell

Entry 9:
# Tb2HoIn3Se6

Tb2HoIn3Se6 after structural relaxation (PBE-GGA, the Alexandria database).

a b c (Å): 7.197 7.197 8.107
angles (deg): 98.51 98.51 120.00
Fractional coordinates of all 12 atoms:
Tb 0.333 0.667 0.000
Tb 0.667 0.333 0.000
Ho 0.000 0.000 0.000
In 0.167 0.833 0.500
In 0.833 0.167 0.500
In 0.500 0.500 0.500
Se 0.931 0.599 0.792
Se 0.739 0.739 0.209
Se 0.069 0.401 0.208
Se 0.599 0.931 0.792
Se 0.261 0.261 0.791
Se 0.401 0.069 0.208

Results
**Symmetry**: C2/m, No. 12
**Formation energy from raw total energies**: -1302 meV per atom
**Total magnetization**: 0.00 μB per cell

Entry 10:
# Ho6InTe3Se2

Ho6InTe3Se2 after structural relaxation (PBE-GGA, the Alexandria database).

a b c (Å): 4.154 8.713 9.583
angles (deg): 104.23 102.52 90.00
Fractional coordinates of all 12 atoms:
Ho 0.336 0.897 0.671
Ho 0.674 0.567 0.349
Ho 0.664 0.103 0.329
Ho 0.007 0.248 0.014
Ho 0.993 0.752 0.986
Ho 0.326 0.433 0.651
In 0.500 0.000 0.000
Te 0.500 0.500 0.000
Te 0.834 0.169 0.667
Te 0.166 0.831 0.333
Se 0.832 0.664 0.664
Se 0.168 0.336 0.336

Results
**Symmetry**: C2/m, No. 12
**Formation energy from raw total energies**: -1273 meV per atom
**DOS at the Fermi energy**: 4.61 states/eV/f.u.
**Total magnetization**: 0.00 μB per cell

Entry 11:
# Ho4InTe2Se

Ho4InTe2Se after structural relaxation (PBE-GGA, the Alexandria database).

a b c (Å): 4.205 7.453 7.527
angles (deg): 108.71 90.00 90.00
Fractional coordinates of all 8 atoms:
Ho 0.500 0.240 0.227
Ho 0.500 0.760 0.773
Ho 0.000 0.252 0.763
Ho 0.000 0.748 0.237
In 0.500 0.500 0.000
Te 0.500 0.000 0.500
Te 0.000 0.500 0.500
Se 0.000 0.000 0.000

Results
**Symmetry**: P2/m, No. 10
**Formation energy from raw total energies**: -1162 meV per atom
**DOS at the Fermi energy**: 3.21 states/eV/f.u.
**Total magnetization**: 0.00 μB per cell

Entry 12:
# HoInTeSe

HoInTeSe after structural relaxation (PBE-GGA, the Alexandria database).

a b c (Å): 4.260 4.260 8.448
angles (deg): 89.99 104.60 120.00
Fractional coordinates of all 4 atoms:
Ho 0.291 0.544 0.850
In 0.963 0.380 0.358
Te 0.116 0.956 0.088
Se 0.507 0.151 0.673

Results
**Symmetry**: R3m, No. 160
**Formation energy from raw total energies**: -1110 meV per atom
**Total magnetization**: 0.00 μB per cell